No. 1
Below is a geometry-optimized CsReSb3 structure, with properties calculated at the PBE level.

Structure (POSCAR):
```
CsReSb3
1.0
5.3801 0.0000 0.0000
0.0000 5.3801 0.0000
0.0000 0.0000 5.3801
Cs Re Sb
1 1 3
direct
0.5000 0.5000 0.5000
0.0000 0.0000 0.0000
0.0000 0.5000 0.0000
0.0000 0.0000 0.5000
0.5000 0.0000 0.0000
```

Energy above the lowest structure with this stoichiometry   0.000 eV per atom
E_form (uncorrected)   0.424 eV/atom

No. 2
Below is a geometry-optimized CsRe2Sb2 structure, with properties calculated at the PBE level.

Structure (POSCAR):
```
CsRe2Sb2
1.0
5.1684 0.0000 0.0000
0.0000 5.1684 0.0000
2.5842 2.5842 4.7661
Cs Re Sb
1 2 2
direct
0.0000 0.0000 0.0000
0.3807 0.3807 0.2385
0.6193 0.6193 0.7615
0.7500 0.2500 0.5000
0.2500 0.7500 0.5000
```

E_form (uncorrected)   0.587 eV/atom

No. 3
Below is a geometry-optimized CsReSbTe2 structure, with properties calculated at the PBE level.

Structure (POSCAR):
```
CsReSbTe2
1.0
-5.8769 -0.9527 0.5709
-0.5395 -0.2382 -5.9518
0.9785 -5.9467 0.1493
Cs Re Te Sb
1 1 2 1
direct
0.0000 0.0000 0.0000
0.5000 0.5000 0.5000
0.0000 0.5000 0.0000
0.5000 0.0000 0.0000
0.0000 0.0000 0.5000
```

Energy above the lowest structure with this stoichiometry   2.601 eV per atom
E_form (uncorrected)   2.848 eV/atom

No. 4
Below is a geometry-optimized CsReSbTe2 structure, with properties calculated at the PBE level.

Structure (POSCAR):
```
CsReSbTe2
1.0
5.6011 0.0000 0.0000
0.0000 5.6011 0.0000
0.0000 0.0000 5.2233
Cs Re Te Sb
1 1 2 1
direct
0.5000 0.5000 0.5000
0.0000 0.0000 0.0000
0.0000 0.5000 0.0000
0.5000 0.0000 0.0000
0.0000 0.0000 0.5000
```

Energy above the lowest structure with this stoichiometry   0.000 eV per atom
E_form (uncorrected)   0.247 eV/atom

No. 5
Below is a geometry-optimized CsSc2Re structure, with properties calculated at the PBE level.

Structure (POSCAR):
```
CsSc2Re
1.0
-4.2011 6.5266 1.2874
-3.5488 -3.4866 6.0952
0.1170 3.4170 7.1008
Cs Re Sc
2 2 4
direct
0.5000 0.5000 0.0000
0.2500 0.7500 0.5000
0.0000 0.0000 0.0000
0.7500 0.2500 0.5000
0.8750 0.1250 0.2500
0.8750 0.6250 0.2500
0.3750 0.1250 0.7500
0.8750 0.1250 0.7500
```

Energy above the lowest structure with this stoichiometry   0.366 eV per atom
Calculated formation energy   3.45 eV per formula unit

No. 6
Below is a geometry-optimized CsSc3Re structure, with properties calculated at the PBE level.

Structure (POSCAR):
```
CsSc3Re
1.0
5.0945 0.0000 0.0000
0.0000 5.0945 0.0000
0.0000 0.0000 5.0945
Cs Re Sc
1 1 3
direct
0.0000 0.0000 0.0000
0.5000 0.5000 0.5000
0.0000 0.5000 0.0000
0.0000 0.0000 0.5000
0.5000 0.0000 0.0000
```

Energy above the lowest structure with this stoichiometry   1.657 eV per atom
Calculated formation energy   10.76 eV per formula unit

No. 7
Below is a geometry-optimized CsScRe3 structure, with properties calculated at the PBE level.

Structure (POSCAR):
```
CsScRe3
1.0
4.8811 0.0000 0.0000
0.0000 4.8811 0.0000
0.0000 0.0000 4.8811
Cs Re Sc
1 3 1
direct
0.0000 0.0000 0.0000
0.0000 0.5000 0.0000
0.0000 0.0000 0.5000
0.5000 0.0000 0.0000
0.5000 0.5000 0.5000
```

Energy above the lowest structure with this stoichiometry   0.755 eV per atom
Calculated formation energy   17.42 eV per formula unit

No. 8
Below is a geometry-optimized CsScRe3 structure, with properties calculated at the PBE level.

Structure (POSCAR):
```
CsScRe3
1.0
4.9819 0.0000 0.0000
0.0000 4.9819 0.0000
0.0000 0.0000 4.9819
Cs Re Sc
1 3 1
direct
0.5000 0.5000 0.5000
0.0000 0.5000 0.0000
0.0000 0.0000 0.5000
0.5000 0.0000 0.0000
0.0000 0.0000 0.0000
```

Energy above the lowest structure with this stoichiometry   0.000 eV per atom
Calculated formation energy   13.65 eV per formula unit

No. 9
Below is a geometry-optimized CsSc2Re structure, with properties calculated at the PBE level.

Structure (POSCAR):
```
CsSc2Re
1.0
0.0000 3.5722 3.5722
3.5722 0.0000 3.5722
3.5722 3.5722 0.0000
Cs Re Sc
1 1 2
direct
0.0000 0.0000 0.0000
0.5000 0.5000 0.5000
0.2500 0.2500 0.2500
0.7500 0.7500 0.7500
```

Energy above the lowest structure with this stoichiometry   0.542 eV per atom
Calculated formation energy   4.15 eV per formula unit

No. 10
Below is a geometry-optimized CsSc3Re structure, with properties calculated at the PBE level.

Structure (POSCAR):
```
CsSc3Re
1.0
5.3017 0.0000 0.0000
0.0000 5.3017 0.0000
0.0000 0.0000 5.3017
Cs Re Sc
1 1 3
direct
0.5000 0.5000 0.5000
0.0000 0.0000 0.0000
0.0000 0.5000 0.0000
0.0000 0.0000 0.5000
0.5000 0.0000 0.0000
```

Energy above the lowest structure with this stoichiometry   0.000 eV per atom
Calculated formation energy   2.47 eV per formula unit

No. 11
Below is a geometry-optimized CsSc2Re structure, with properties calculated at the PBE level.

Structure (POSCAR):
```
CsSc2Re
1.0
1.9391 0.0000 10.9529
-0.9695 1.6793 10.9529
-0.9695 -1.6793 10.9529
Cs Re Sc
1 1 2
direct
0.0000 0.0000 0.0000
0.5000 0.5000 0.5000
0.8914 0.8914 0.8914
0.1086 0.1086 0.1086
```

Energy above the lowest structure with this stoichiometry   0.000 eV per atom
Calculated formation energy   1.98 eV per formula unit

No. 12
Below is a geometry-optimized CsReSe2 structure, with properties calculated at the PBE level.

Structure (POSCAR):
```
CsReSe2
1.0
-1.4100 2.1070 7.2861
6.0513 -4.1553 2.3727
4.9081 2.4552 4.3239
Cs Re Se
2 2 4
direct
0.5000 0.5000 0.0000
0.2500 0.7500 0.5000
0.0000 0.0000 0.0000
0.7500 0.2500 0.5000
0.7560 0.1250 0.2500
0.9940 0.6250 0.2500
0.3750 0.2440 0.7500
0.8750 0.0060 0.7500
```

Energy above the lowest structure with this stoichiometry   0.000 eV per atom
E_form (uncorrected)   -0.245 eV/atom

no.,M_tot (μB/f.u.)
1,0.00
2,0.00
3,0.00
4,1.80
5,0.00
6,2.47
7,0.00
8,5.12
9,0.00
10,0.00
11,0.00
12,0.00